[1]
# GGA-PBE La4Pm2Sm2Mg, relaxed
# * DFT formation energy: 12 meV per atom
# * volume: 307.2 Å³/cell
# * electronic total energy: -4.4593 eV per atom
data_La4Pm2Sm2Mg
_cell_length_a 6.284
_cell_length_b 6.332
_cell_length_c 8.141
_cell_angle_alpha 75.01
_cell_angle_beta 82.39
_cell_angle_gamma 80.38
_space_group_name_H-M_alt 'P -1'
_space_group_IT_number 2
loop_
_space_group_symop_operation_xyz
'x,y,z'
'-x,-y,-z'
loop_
_atom_site_label
_atom_site_fract_x
_atom_site_fract_y
_atom_site_fract_z
La1 0.051 0.283 0.391
La2 0.173 0.834 0.163
Pm1 0.393 0.942 0.717
Sm1 0.277 0.391 0.938
Mg1 0.500 0.500 0.500



[2]
# GGA-PBE Ca2ZnNi, relaxed
# * DFT formation energy: 181 meV per atom
# * volume: 398.1 Å³/cell
# * electronic total energy: -2.5837 eV per atom
data_Ca2ZnNi
_cell_length_a 7.785
_cell_length_b 7.785
_cell_length_c 6.568
_cell_angle_alpha 90.00
_cell_angle_beta 90.00
_cell_angle_gamma 90.00
_space_group_name_H-M_alt 'I -4 2 d'
_space_group_IT_number 122
_space_group_name_Hall 'I -4 2bw'
loop_
_atom_site_label
_atom_site_fract_x
_atom_site_fract_y
_atom_site_fract_z
Ca1 0.216 0.750 0.125
Zn1 0.000 0.000 0.500
Ni1 0.000 0.000 0.000



[3]
# GGA-PBE NaHgPd, relaxed
# * DFT formation energy: -99 meV per atom
# * volume: 283.3 Å³/cell
# * electronic total energy: -2.3699 eV per atom
# * E above lowest polymorph: 187.8 meV per atom
data_NaHgPd
_cell_length_a 6.568
_cell_length_b 6.568
_cell_length_c 6.568
_cell_angle_alpha 90.00
_cell_angle_beta 90.00
_cell_angle_gamma 90.00
_space_group_name_H-M_alt 'F -4 3 m'
_space_group_IT_number 216
_space_group_name_Hall 'F -4 2 3'
loop_
_atom_site_label
_atom_site_fract_x
_atom_site_fract_y
_atom_site_fract_z
Na1 0.000 0.000 0.000
Hg1 0.000 0.000 0.500
Pd1 0.250 0.250 0.250



[4]
# GGA-PBE MgTcRh3, relaxed
# * DFT formation energy: 829 meV per atom
# * volume: 102.4 Å³/cell
# * electronic total energy: -5.9740 eV per atom
# * E above lowest polymorph: 0.0 meV per atom
data_MgTcRh3
_cell_length_a 4.678
_cell_length_b 4.678
_cell_length_c 4.678
_cell_angle_alpha 90.00
_cell_angle_beta 90.00
_cell_angle_gamma 90.00
_space_group_name_H-M_alt 'P m -3 m'
_space_group_IT_number 221
_space_group_name_Hall '-P 4 2 3'
loop_
_atom_site_label
_atom_site_fract_x
_atom_site_fract_y
_atom_site_fract_z
Mg1 0.000 0.000 0.000
Tc1 0.500 0.500 0.500
Rh1 0.000 0.500 0.500



[5]
# GGA-PBE CaPm2ScBi4, relaxed
# * DFT formation energy: -773 meV per atom
# * volume: 259.2 Å³/cell
# * electronic total energy: -4.9426 eV per atom
data_CaPm2ScBi4
_cell_length_a 7.740
_cell_length_b 4.496
_cell_length_c 7.892
_cell_angle_alpha 90.00
_cell_angle_beta 109.30
_cell_angle_gamma 90.00
_space_group_name_H-M_alt 'P 1 2/m 1'
_space_group_IT_number 10
loop_
_space_group_symop_operation_xyz
'x,y,z'
'-x,-y,-z'
'-x,y,-z'
'x,-y,z'
loop_
_atom_site_label
_atom_site_fract_x
_atom_site_fract_y
_atom_site_fract_z
Ca1 0.000 0.000 0.000
Pm1 0.500 0.000 0.500
Pm2 0.500 0.500 0.000
Sc1 0.000 0.500 0.500
Bi1 0.235 0.000 0.736
Bi2 0.242 0.500 0.258



[6]
# GGA-PBE HfMn2CuHg, relaxed
# * DFT formation energy: 696 meV per atom
# * volume: 102.0 Å³/cell
# * electronic total energy: -5.8425 eV per atom
data_HfMn2CuHg
_cell_length_a 4.586
_cell_length_b 4.586
_cell_length_c 4.851
_cell_angle_alpha 90.00
_cell_angle_beta 90.00
_cell_angle_gamma 90.00
_space_group_name_H-M_alt 'P 4/m m m'
_space_group_IT_number 123
_space_group_name_Hall '-P 4 2'
loop_
_atom_site_label
_atom_site_fract_x
_atom_site_fract_y
_atom_site_fract_z
Hf1 0.000 0.000 0.000
Mn1 0.000 0.500 0.500
Cu1 0.000 0.000 0.500
Hg1 0.500 0.500 0.000



[7]
# GGA-PBE PrMgAgSn2, relaxed
# * DFT formation energy: -402 meV per atom
# * volume: 254.0 Å³/cell
# * electronic total energy: -3.8487 eV per atom
data_PrMgAgSn2
_cell_length_a 4.473
_cell_length_b 4.473
_cell_length_c 12.698
_cell_angle_alpha 90.00
_cell_angle_beta 90.00
_cell_angle_gamma 90.00
_space_group_name_H-M_alt 'I -4 m 2'
_space_group_IT_number 119
_space_group_name_Hall 'I -4 -2'
loop_
_atom_site_label
_atom_site_fract_x
_atom_site_fract_y
_atom_site_fract_z
Pr1 0.000 0.000 0.000
Mg1 0.000 0.500 0.250
Ag1 0.000 0.500 0.750
Sn1 0.000 0.000 0.389



[8]
# GGA-PBE K2LaIr, relaxed
# * DFT formation energy: 456 meV per atom
# * volume: 454.2 Å³/cell
# * electronic total energy: -3.5396 eV per atom
# * E above lowest polymorph: 536.8 meV per atom
data_K2LaIr
_cell_length_a 7.687
_cell_length_b 7.687
_cell_length_c 7.687
_cell_angle_alpha 90.00
_cell_angle_beta 90.00
_cell_angle_gamma 90.00
_space_group_name_H-M_alt 'F -4 3 m'
_space_group_IT_number 216
_space_group_name_Hall 'F -4 2 3'
loop_
_atom_site_label
_atom_site_fract_x
_atom_site_fract_y
_atom_site_fract_z
K1 0.000 0.000 0.000
K2 0.250 0.250 0.250
La1 0.000 0.000 0.500
Ir1 0.250 0.250 0.750